(1)
Na2HfGaS4 after structural relaxation, computed with PBE.

## Properties
As for the formation energy from raw total energies: -1015 meV per atom. The density of states at the Fermi level is 0.29 states/eV per atom. For the uncorrected energy, the calculation gives -5.0315 eV/atom.

Unit cell a=6.182 b=6.182 c=6.182 alpha=107.11 beta=107.11 gamma=114.31
Element x y z (fractional)
1 Na 0.000 0.500 0.500
2 Na 0.500 0.000 0.500
3 Hf 0.000 0.000 0.000
4 Ga 0.500 0.500 0.000
5 S 0.077 0.077 0.660
6 S 0.417 0.417 0.340
7 S 0.583 0.923 0.000
8 S 0.923 0.583 0.000

---

(2)
Na2HfGaTe5 after structural relaxation, computed with PBE.

## Properties
As for the formation energy from raw total energies: -641 meV per atom. The density of states at the Fermi level is 0.47 states/eV per atom. For the uncorrected energy, the calculation gives -4.1222 eV/atom.

Unit cell a=10.075 b=10.075 c=15.025 alpha=90.00 beta=90.00 gamma=157.55
Element x y z (fractional)
1 Na 0.107 0.893 0.500
2 Na 0.121 0.879 0.162
3 Na 0.879 0.121 0.662
4 Na 0.893 0.107 0.000
5 Hf 0.218 0.782 0.879
6 Hf 0.782 0.218 0.379
7 Ga 0.428 0.572 0.260
8 Ga 0.572 0.428 0.760
9 Te 0.062 0.938 0.878
10 Te 0.284 0.716 0.516
11 Te 0.294 0.706 0.233
12 Te 0.358 0.642 0.838
13 Te 0.494 0.506 0.110
14 Te 0.506 0.494 0.610
15 Te 0.642 0.358 0.338
16 Te 0.706 0.294 0.733
17 Te 0.716 0.284 0.016
18 Te 0.938 0.062 0.378

---

(3)
NaHf2ZnGa after structural relaxation, computed with PBE.

## Properties
The density of states at the Fermi level is 1.48 states/eV per atom. The calculation puts the energy of formation at 0.752 eV/atom. For the uncorrected energy, the calculation gives -4.3533 eV/atom.

Unit cell a=5.032 b=5.032 c=5.010 alpha=90.00 beta=90.00 gamma=90.00
Element x y z (fractional)
1 Na 0.000 0.000 0.000
2 Hf 0.000 0.500 0.500
3 Hf 0.500 0.000 0.500
4 Zn 0.500 0.500 0.000
5 Ga 0.000 0.000 0.500